An optimized crystal structure of PmDy4Au5. Source: Alexandria via LeMat-Bulk, functional PBE-GGA.

Cell lengths 3.587, 3.587, 18.384 Å; angles 90.00, 90.00, 90.00 degrees
Space group P4/mmm (No. 123)
Unique sites:
Pm (0.000, 0.000, 0.000)
Dy (0.000, 0.000, 0.203)
Dy (0.000, 0.000, 0.401)
Au (0.500, 0.500, 0.108)
Au (0.500, 0.500, 0.302)
Au (0.500, 0.500, 0.500)

Results
electronic total energy: -48.04 eV for the cell shown
calculated formation energy: -81.9 kJ per mole of atoms

=====

An optimized crystal structure of YIn2H2. Source: Alexandria via LeMat-Bulk, functional PBE-GGA.

Cell lengths 3.572, 3.572, 14.131 Å; angles 90.00, 90.00, 90.00 degrees
Space group I4/mmm (No. 139)
Unique sites:
Y (0.000, 0.000, 0.000)
In (0.000, 0.000, 0.346)
H (0.000, 0.500, 0.250)

Results
electronic total energy: -35.08 eV for the cell shown
energy relative to the lowest polymorph listed for this composition: 401 meV/atom

=====

An optimized crystal structure of NaCaMo2. Source: Alexandria via LeMat-Bulk, functional PBE-GGA.

Cell lengths 8.301, 8.301, 4.985 Å; angles 90.00, 90.00, 90.00 degrees
Space group I-42d (No. 122)
Unique sites:
Na (0.000, 0.000, 0.000)
Ca (0.000, 0.000, 0.500)
Mo (0.220, 0.750, 0.125)

Results
electronic total energy: -76.14 eV for the cell shown
energy relative to the lowest polymorph listed for this composition: 0 meV/atom
calculated formation energy: 143.4 kJ per mole of atoms

=====

An optimized crystal structure of TePPdN2. Source: Alexandria via LeMat-Bulk, functional PBE-GGA.

Cell lengths 3.795, 3.795, 7.538 Å; angles 90.00, 90.00, 90.00 degrees
Space group P4/mmm (No. 123)
Unique sites:
Te (0.000, 0.000, 0.000)
P (0.500, 0.500, 0.000)
Pd (0.000, 0.000, 0.500)
N (0.000, 0.500, 0.500)

Results
electronic total energy: -22.58 eV for the cell shown
energy relative to the lowest polymorph listed for this composition: 608 meV/atom

=====

An optimized crystal structure of Pm2Er3ThSe6. Source: Alexandria via LeMat-Bulk, functional PBE-GGA.

Cell lengths 18.159, 4.070, 8.346 Å; angles 90.00, 105.69, 90.00 degrees
Space group C2/m (No. 12)
Unique sites:
Pm (0.163, 0.000, 0.326)
Er (0.000, 0.500, 0.500)
Er (0.166, 0.000, 0.834)
Th (0.000, 0.500, 0.000)
Se (0.005, 0.000, 0.739)
Se (0.165, 0.500, 0.591)
Se (0.172, 0.500, 0.074)

Results
electronic total energy: -144.12 eV for the cell shown

=====

An optimized crystal structure of CaBeAlCu6. Source: Alexandria via LeMat-Bulk, functional PBE-GGA.

Cell lengths 5.127, 7.746, 13.611 Å; angles 90.00, 90.00, 90.00 degrees
Space group Imma (No. 74)
Unique sites:
Ca (0.000, 0.250, 0.000)
Be (0.250, 0.250, 0.250)
Al (0.000, 0.000, 0.500)
Cu (0.000, 0.250, 0.386)
Cu (0.000, 0.250, 0.753)
Cu (0.245, 0.010, 0.841)

Results
electronic total energy: -135.94 eV for the cell shown
calculated formation energy: 0.7 kJ per mole of atoms

=====

An optimized crystal structure of BeHgPd2. Source: Alexandria via LeMat-Bulk, functional PBE-GGA.

Cell lengths 2.873, 2.873, 7.155 Å; angles 90.00, 90.00, 90.00 degrees
Space group P4/mmm (No. 123)
Unique sites:
Be (0.000, 0.000, 0.000)
Hg (0.000, 0.000, 0.500)
Pd (0.500, 0.500, 0.194)

Results
electronic total energy: -15.92 eV for the cell shown
energy relative to the lowest polymorph listed for this composition: 0 meV/atom
calculated formation energy: -36.4 kJ per mole of atoms

=====

An optimized crystal structure of CePm2Sm4. Source: Alexandria via LeMat-Bulk, functional PBE-GGA.

Cell lengths 3.6314, 3.6314, 20.6046 Å; angles 90.00, 90.00, 120.00 degrees
Space group P3m1 (No. 156)
Unique sites:
Ce (0.0000, 0.0000, 0.0000)
Pm (0.0000, 0.0000, 0.4285)
Pm (0.0000, 0.0000, 0.7156)
Sm (0.3333, 0.6667, 0.2844)
Sm (0.3333, 0.6667, 0.5726)
Sm (0.6667, 0.3333, 0.1426)
Sm (0.6667, 0.3333, 0.8599)

Results
electronic total energy: -34.01 eV for the cell shown
calculated formation energy: 4.1 kJ per mole of atoms